# 1
Crystalline Cs2Tl6CdSn at its relaxed geometry. Source: the Alexandria database, functional PBE-GGA.

abc: 8.383 8.383 14.625
angles: 73.35 73.35 60.00
Positions (direct):
Cs 0.849 0.849 0.453
Cs 0.151 0.151 0.547
Cs 0.706 0.706 0.881
Cs 0.294 0.294 0.119
Tl 0.847 0.410 0.334
Tl 0.410 0.847 0.334
Tl 0.410 0.410 0.334
Tl 0.153 0.590 0.666
Tl 0.590 0.153 0.666
Tl 0.590 0.590 0.666
Tl 0.805 0.191 0.813
Tl 0.191 0.805 0.813
Tl 0.191 0.191 0.813
Tl 0.195 0.809 0.187
Tl 0.809 0.195 0.187
Tl 0.809 0.809 0.187
Cd 0.000 0.000 0.000
Cd 0.500 0.500 0.500
Sn 0.615 0.615 0.154
Sn 0.385 0.385 0.846

Results
**Space group**: R-3m, No. 166
**D(E_F)**: 4.82 states/eV/f.u.
**Calculated total energy**: -21.04 eV/f.u.
**Total magnetic moment**: 0.00 μB per formula unit
**Theoretical density**: 6.81 g cm⁻³
**ΔE_f**: -21 meV per atom

# 2
Crystalline ZnAs2Br at its relaxed geometry. Source: the Alexandria database, functional PBE-GGA.

abc: 4.816 4.816 4.815
angles: 69.46 69.46 107.32
Positions (direct):
As 0.000 0.000 0.000
As 0.500 0.500 0.000
Br 0.500 0.000 0.500
Zn 0.000 0.500 0.500

Results
**Uncorrected formation energy**: 0.720 eV/f.u.
**Space group**: I4/mmm, No. 139
**D(E_F)**: 1.79 states/eV/f.u.
**Calculated total energy**: -11.53 eV/f.u.
**Total magnetic moment**: 0.00 μB per formula unit
**Theoretical density**: 5.71 g cm⁻³
**Polymorph energy (0 for the lowest one)**: 352 meV/atom

> Which of these has the lowest calculated total energy?

Cs2Tl6CdSn